1.
Hf6Fe5Co | PBE-GGA | optimized geometry

- E (eV per atom) = -9.43
- space group = Immm (71)
- volume (Å³/atom) = 15.5

a = 7.696 Å, b = 7.696 Å, c = 7.696 Å
α = 146.40°, β = 131.99°, γ = 59.87°
Sites, in units of the cell vectors:
Hf: 0.082 0.333 0.750
Hf: 0.249 0.000 0.249
Hf: 0.417 0.667 0.750
Hf: 0.583 0.333 0.250
Hf: 0.751 0.000 0.751
Hf: 0.918 0.667 0.250
Fe: 0.000 0.500 0.500
Fe: 0.166 0.166 0.000
Fe: 0.333 0.833 0.500
Fe: 0.667 0.167 0.500
Fe: 0.834 0.834 0.000
Co: 0.500 0.500 0.000

=====

2.
BaSrLa2Ir | PBE-GGA | optimized geometry

- space group = P4/mmm (123)
- E above lowest polymorph (meV per atom) = 0
- volume (Å³/atom) = 40.8

a = 5.700 Å, b = 5.700 Å, c = 6.279 Å
α = 90.00°, β = 90.00°, γ = 90.00°
Sites, in units of the cell vectors:
Ba: 0.000 0.000 0.000
Sr: 0.500 0.500 0.000
La: 0.000 0.500 0.500
La: 0.500 0.000 0.500
Ir: 0.500 0.500 0.500

=====

3.
Sc12TiAl3 | PBE-GGA | optimized geometry

- E (eV per atom) = -6.11
- space group = P4/mmm (123)
- volume (Å³/atom) = 21.8

a = 4.419 Å, b = 4.419 Å, c = 17.853 Å
α = 90.00°, β = 90.00°, γ = 90.00°
Sites, in units of the cell vectors:
Sc: 0.000 0.000 0.000
Sc: 0.000 0.000 0.247
Sc: 0.000 0.000 0.500
Sc: 0.000 0.000 0.753
Sc: 0.000 0.500 0.124
Sc: 0.000 0.500 0.375
Sc: 0.000 0.500 0.625
Sc: 0.000 0.500 0.876
Sc: 0.500 0.000 0.124
Sc: 0.500 0.000 0.375
Sc: 0.500 0.000 0.625
Sc: 0.500 0.000 0.876
Ti: 0.500 0.500 0.500
Al: 0.500 0.500 0.000
Al: 0.500 0.500 0.247
Al: 0.500 0.500 0.753

=====

Q: What is the volume in the second record?
A: 40.8 Å³/atom